! GGA-PBE NdPtAu2, optimized geometry; values from VASP
! **E above lowest polymorph**: 0.032 eV per atom
! **Spin magnetization**: 0.0 μB per cell
! **Formation enthalpy at 0 K**: -2.9 eV/f.u.
! **Symmetry**: No. 11
&SYSTEM
  ibrav = 0, nat = 8, ntyp = 3
/
ATOMIC_SPECIES
Nd 144.24 Nd.upf
Au 196.97 Au.upf
Pt 195.08 Pt.upf
ATOMIC_POSITIONS angstrom
Nd -3.853 -3.620 5.373
Au -3.841 -1.398 2.863
Au 0.849 -3.040 2.061
Pt -2.886 -0.746 5.418
Nd -0.970 -0.236 1.796
Au -0.982 -2.458 4.306
Au -5.672 -0.817 5.108
Pt -1.937 -3.110 1.752
CELL_PARAMETERS angstrom
-3.182 -2.262 -2.009
3.116 -3.105 3.346
-4.758 1.511 5.833